Material: BeZnCo2
Method: DFT, PBEsol
State: optimized geometry

total magnetic moment: 2.396 μB per formula unit
E above lowest polymorph: 0.140 eV/atom
crystal system: orthorhombic
calculated volume: 10.37 A^3/atom
calculated formation energy: 0.004 eV per atom

Cell: 2.9209 3.7349 3.8031 Å, 90.00 90.00 90.00°
Fractional positions:
Be  0.0000  0.0000  0.0000
Zn  0.5000  0.0000  0.5000
Co  0.0000  0.5000  0.5000
Co  0.5000  0.5000  0.0000